[1]
CsTc2NiCl PBE optimized geometry; calculated volume = 26.763 A^3/atom; space group = P4/mmm (123); energy relative to the elements, uncorrected = 1301 kJ/mol of formula units
1.0
5.3019 0.0000 0.0000
0.0000 5.3019 0.0000
0.0000 0.0000 4.7604
Cs Tc Ni Cl
1 2 1 1
Direct
0.0000 0.0000 0.0000
0.0000 0.5000 0.0000
0.5000 0.0000 0.0000
0.0000 0.0000 0.5000
0.5000 0.5000 0.5000

---

[2]
Zr6Pd3Ru PBE optimized geometry; calculated volume = 20.353 A^3/atom; energy relative to the elements = -334.2 meV per atom; space group = Pnnm (58)
1.0
8.1989 0.0000 0.0000
0.0000 10.6724 0.0000
0.0000 0.0000 4.6520
Zr Pd Ru
12 6 2
Direct
0.0011 0.2497 0.0000
0.1609 0.5935 0.5000
0.1773 0.9218 0.5000
0.3227 0.4218 0.0000
0.3391 0.0935 0.0000
0.4989 0.7497 0.5000
0.5011 0.2503 0.5000
0.6609 0.9065 0.0000
0.6773 0.5782 0.0000
0.8227 0.0782 0.5000
0.8391 0.4065 0.5000
0.9989 0.7503 0.0000
0.0000 0.0000 0.0000
0.1713 0.2950 0.5000
0.3287 0.7950 0.0000
0.5000 0.5000 0.5000
0.6713 0.2050 0.0000
0.8287 0.7050 0.5000
0.0000 0.5000 0.0000
0.5000 0.0000 0.5000

---

[3]
Li3Mg2Au PBE optimized geometry; calculated volume = 18.748 A^3/atom; energy relative to the elements = -225.2 meV per atom; space group = Pmm2 (25)
1.0
3.0976 0.0000 0.0000
0.0000 4.5067 0.0000
0.0000 0.0000 8.0578
Li Mg Au
3 2 1
Direct
0.0000 0.0000 0.0000
0.0000 0.0000 0.3337
0.0000 0.5000 0.8304
0.5000 0.0000 0.6427
0.5000 0.5000 0.1921
0.0000 0.5000 0.5021

---

- calculated volume of number 1 (CsTc2NiCl)?
  26.763 A^3/atom